[1]
CdCu2W: optimized geometry, GGA-PBE.

```
data_CdCu2W
_space_group_name_H-M_alt 'C 1 m 1'
_space_group_IT_number 8
_space_group_name_Hall 'C -2y'
_cell_length_a 9.936
_cell_length_b 2.659
_cell_length_c 4.813
_cell_angle_alpha 90.00
_cell_angle_beta 108.49
_cell_angle_gamma 90.00
loop_
_atom_site_label
_atom_site_fract_x
_atom_site_fract_y
_atom_site_fract_z
Cd1 0.000 0.000 0.000
Cu1 0.257 0.500 0.156
Cu2 0.471 0.000 0.489
W1 0.220 0.000 0.629
```

Computed properties:
E_form: 0.44 eV per atom
total DFT energy (no corrections): -5.074 eV per atom

=====

[2]
BaMgGa2: optimized geometry, GGA-PBE.

```
data_BaMgGa2
_space_group_name_H-M_alt 'P 1 21/m 1'
_space_group_IT_number 11
_space_group_name_Hall '-P 2yb'
_cell_length_a 4.638
_cell_length_b 7.268
_cell_length_c 6.925
_cell_angle_alpha 90.00
_cell_angle_beta 108.75
_cell_angle_gamma 90.00
loop_
_atom_site_label
_atom_site_fract_x
_atom_site_fract_y
_atom_site_fract_z
Ba1 0.069 0.250 0.122
Mg1 0.224 0.750 0.453
Ga1 0.347 0.071 0.695
```

Computed properties:
E_form: -0.31 eV per atom
total DFT energy (no corrections): -2.702 eV per atom